(1)
Entry from the Alexandria database: an optimized crystal structure of Th4BiSb2As (GGA-PBE).

Cell: 7.736 4.443 7.782 Å, 90.00 109.22 90.00°
Fractional coordinates of all 8 atoms:
Th (0.234, 0.000, 0.227)
Th (0.246, 0.500, 0.768)
Th (0.754, 0.500, 0.232)
Th (0.766, 0.000, 0.773)
Bi (0.000, 0.000, 0.500)
Sb (0.500, 0.000, 0.000)
Sb (0.500, 0.500, 0.500)
As (0.000, 0.500, 0.000)

Summary:
formation energy without anion corrections: -0.9207 eV per atom
total magnetic moment: 0.00 μB/f.u.

(2)
Entry from the Alexandria database: an optimized crystal structure of AcScCoGe2 (GGA-PBE).

Cell: 6.485 6.485 6.485 Å, 141.28 141.28 55.91°
Fractional coordinates of all 5 atoms:
Ac (0.000, 0.000, 0.000)
Sc (0.250, 0.750, 0.500)
Co (0.750, 0.250, 0.500)
Ge (0.381, 0.381, 0.000)
Ge (0.619, 0.619, 0.000)

Summary:
total magnetic moment: 0.00 μB/f.u.
energy of formation from the pure elements: -0.582 eV/atom

(3)
Entry from the Alexandria database: an optimized crystal structure of CaNdAg4 (GGA-PBE).

Cell: 5.952 5.952 4.817 Å, 113.64 113.64 86.71°
Fractional coordinates of all 6 atoms:
Ca (0.000, 0.000, 0.000)
Nd (0.417, 0.583, 0.500)
Ag (0.420, 0.175, 0.798)
Ag (0.586, 0.001, 0.294)
Ag (0.825, 0.580, 0.202)
Ag (0.999, 0.414, 0.706)

Summary:
total magnetic moment: 0.00 μB/f.u.
excess energy over the best structure of this formula in the dataset: 0.00 eV per formula unit
energy of formation from the pure elements: -0.271 eV/atom

(4)
Entry from the Alexandria database: an optimized crystal structure of Ta2TlPt (GGA-PBE).

Cell: 5.160 5.160 5.187 Å, 101.00 101.00 33.51°
Fractional coordinates of all 4 atoms:
Ta (0.242, 0.242, 0.230)
Ta (0.758, 0.758, 0.770)
Tl (0.000, 0.000, 0.500)
Pt (0.500, 0.500, 0.000)

Summary:
total magnetic moment: 0.00 μB/f.u.
excess energy over the best structure of this formula in the dataset: 0.43 eV per formula unit
energy of formation from the pure elements: 0.120 eV/atom

(5)
Entry from the Alexandria database: an optimized crystal structure of LaMgAl2Zn4 (GGA-PBE).

Cell: 9.282 9.282 9.282 Å, 27.77 27.77 27.77°
Fractional coordinates of all 8 atoms:
La (0.000, 0.000, 0.000)
Mg (0.500, 0.500, 0.500)
Al (0.242, 0.242, 0.242)
Al (0.758, 0.758, 0.758)
Zn (0.126, 0.126, 0.126)
Zn (0.398, 0.398, 0.398)
Zn (0.602, 0.602, 0.602)
Zn (0.874, 0.874, 0.874)

Summary:
total magnetic moment: 0.00 μB/f.u.
energy of formation from the pure elements: -0.195 eV/atom

(6)
Entry from the Alexandria database: an optimized crystal structure of CdTeMo3 (GGA-PBE).

Cell: 4.902 4.902 4.902 Å, 90.00 90.00 90.00°
Fractional coordinates of all 5 atoms:
Cd (0.000, 0.000, 0.000)
Te (0.500, 0.500, 0.500)
Mo (0.000, 0.500, 0.500)
Mo (0.500, 0.000, 0.500)
Mo (0.500, 0.500, 0.000)

Summary:
formation energy without anion corrections: 1.7140 eV per atom
total magnetic moment: 0.00 μB/f.u.
excess energy over the best structure of this formula in the dataset: 0.00 eV per formula unit

(7)
Entry from the Alexandria database: an optimized crystal structure of La4OsI2N (GGA-PBE).

Cell: 6.899 4.193 8.417 Å, 90.00 105.96 90.00°
Fractional coordinates of all 8 atoms:
La (0.224, 0.000, 0.176)
La (0.235, 0.500, 0.822)
La (0.765, 0.500, 0.178)
La (0.776, 0.000, 0.824)
Os (0.500, 0.000, 0.000)
I (0.000, 0.000, 0.500)
I (0.500, 0.500, 0.500)
N (0.000, 0.500, 0.000)

Summary:
formation energy without anion corrections: -0.9415 eV per atom
total magnetic moment: 0.00 μB/f.u.

(8)
Entry from the Alexandria database: an optimized crystal structure of LaNbP2Cl (GGA-PBE).

Cell: 4.897 4.897 4.756 Å, 90.00 90.00 90.00°
Fractional coordinates of all 5 atoms:
La (0.000, 0.000, 0.000)
Nb (0.500, 0.500, 0.500)
P (0.000, 0.500, 0.500)
P (0.500, 0.000, 0.500)
Cl (0.500, 0.500, 0.000)

Summary:
formation energy without anion corrections: -0.7783 eV per atom
total magnetic moment: 0.00 μB/f.u.
excess energy over the best structure of this formula in the dataset: 0.00 eV per formula unit

(9)
Entry from the Alexandria database: an optimized crystal structure of NiRh3 (GGA-PBE).

Cell: 2.713 2.713 7.317 Å, 90.00 90.00 90.00°
Fractional coordinates of all 4 atoms:
Ni (0.000, 0.000, 0.000)
Rh (0.000, 0.000, 0.500)
Rh (0.500, 0.500, 0.239)
Rh (0.500, 0.500, 0.761)

Summary:
total magnetic moment: 0.01 μB/f.u.
energy of formation from the pure elements: 0.037 eV/atom

(10)
Entry from the Alexandria database: an optimized crystal structure of InTe2W (GGA-PBE).

Cell: 9.323 9.323 9.323 Å, 158.93 158.39 30.36°
Fractional coordinates of all 4 atoms:
In (0.000, 0.000, 0.000)
Te (0.334, 0.834, 0.500)
Te (0.643, 0.643, 0.000)
W (0.759, 0.259, 0.500)

Summary:
formation energy without anion corrections: 0.2835 eV per atom
total magnetic moment: 0.00 μB/f.u.

(11)
Entry from the Alexandria database: an optimized crystal structure of BaHfZr2 (GGA-PBE).

Cell: 5.314 5.314 5.314 Å, 60.00 60.00 60.00°
Fractional coordinates of all 4 atoms:
Ba (0.000, 0.000, 0.000)
Hf (0.500, 0.500, 0.500)
Zr (0.250, 0.250, 0.250)
Zr (0.750, 0.750, 0.750)

Summary:
total magnetic moment: 0.00 μB/f.u.
excess energy over the best structure of this formula in the dataset: 1.29 eV per formula unit
energy of formation from the pure elements: 0.714 eV/atom

(12)
Entry from the Alexandria database: an optimized crystal structure of ScP2ClF (GGA-PBE).

Cell: 5.086 5.086 4.838 Å, 90.00 90.00 90.00°
Fractional coordinates of all 5 atoms:
Sc (0.000, 0.000, 0.000)
P (0.000, 0.500, 0.000)
P (0.500, 0.000, 0.000)
Cl (0.000, 0.000, 0.500)
F (0.500, 0.500, 0.500)

Summary:
formation energy without anion corrections: -0.0941 eV per atom
total magnetic moment: 1.68 μB/f.u.
excess energy over the best structure of this formula in the dataset: 1.20 eV per formula unit

(13)
Entry from the Alexandria database: an optimized crystal structure of BaCoCu2Cl8 (GGA-PBE).

Cell: 6.947 6.947 8.096 Å, 90.00 90.00 120.00°
Fractional coordinates of all 12 atoms:
Ba (0.000, 0.000, 0.000)
Co (0.000, 0.000, 0.500)
Cu (0.333, 0.667, 0.252)
Cu (0.667, 0.333, 0.748)
Cl (0.152, 0.304, 0.327)
Cl (0.152, 0.848, 0.327)
Cl (0.304, 0.152, 0.673)
Cl (0.333, 0.667, 0.980)
Cl (0.667, 0.333, 0.020)
Cl (0.696, 0.848, 0.327)
Cl (0.848, 0.152, 0.673)
Cl (0.848, 0.696, 0.673)

Summary:
formation energy without anion corrections: -0.9368 eV per atom
total magnetic moment: 0.95 μB/f.u.

(14)
Entry from the Alexandria database: an optimized crystal structure of Na2Cd5In12 (GGA-PBE).

Cell: 9.782 9.782 5.973 Å, 104.93 104.93 69.19°
Fractional coordinates of all 19 atoms:
Na (0.162, 0.838, 0.000)
Na (0.838, 0.162, 0.000)
Cd (0.000, 0.000, 0.500)
Cd (0.186, 0.186, 0.900)
Cd (0.382, 0.382, 0.594)
Cd (0.618, 0.618, 0.406)
Cd (0.814, 0.814, 0.100)
In (0.082, 0.524, 0.802)
In (0.147, 0.648, 0.392)
In (0.180, 0.180, 0.383)
In (0.352, 0.853, 0.608)
In (0.418, 0.418, 0.122)
In (0.476, 0.918, 0.198)
In (0.524, 0.082, 0.802)
In (0.582, 0.582, 0.878)
In (0.648, 0.147, 0.392)
In (0.820, 0.820, 0.617)
In (0.853, 0.352, 0.608)
In (0.918, 0.476, 0.198)

Summary:
total magnetic moment: 0.00 μB/f.u.
energy of formation from the pure elements: -0.005 eV/atom

(15)
Entry from the Alexandria database: an optimized crystal structure of Hf2BiH (GGA-PBE).

Cell: 4.814 4.814 4.814 Å, 60.00 60.00 60.00°
Fractional coordinates of all 4 atoms:
Hf (0.250, 0.250, 0.250)
Hf (0.750, 0.750, 0.750)
Bi (0.000, 0.000, 0.000)
H (0.500, 0.500, 0.500)

Summary:
total magnetic moment: 0.00 μB/f.u.
excess energy over the best structure of this formula in the dataset: 2.80 eV per formula unit

(16)
Entry from the Alexandria database: an optimized crystal structure of HfHgPt2 (GGA-PBE).

Cell: 6.020 6.020 6.020 Å, 103.22 103.22 122.87°
Fractional coordinates of all 8 atoms:
Hf (0.000, 0.000, 0.000)
Hf (0.750, 0.250, 0.500)
Hg (0.250, 0.750, 0.500)
Hg (0.500, 0.500, 0.000)
Pt (0.103, 0.625, 0.978)
Pt (0.375, 0.353, 0.478)
Pt (0.647, 0.125, 0.022)
Pt (0.875, 0.897, 0.522)

Summary:
total magnetic moment: 0.00 μB/f.u.
energy of formation from the pure elements: -0.322 eV/atom

(17)
Entry from the Alexandria database: an optimized crystal structure of KTc2Sb (GGA-PBE).

Cell: 2.848 5.218 6.524 Å, 90.00 90.09 90.00°
Fractional coordinates of all 4 atoms:
K (0.000, 0.000, 0.000)
Tc (0.499, 0.500, 0.332)
Tc (0.501, 0.500, 0.668)
Sb (0.500, 0.000, 0.500)

Summary:
formation energy without anion corrections: 0.8444 eV per atom
total magnetic moment: 0.00 μB/f.u.

(18)
Entry from the Alexandria database: an optimized crystal structure of Sm6In3Cu (GGA-PBE).

Cell: 9.315 11.695 5.348 Å, 90.00 90.00 90.00°
Fractional coordinates of all 20 atoms:
Sm (0.005, 0.237, 0.000)
Sm (0.161, 0.082, 0.500)
Sm (0.175, 0.418, 0.500)
Sm (0.325, 0.918, 0.000)
Sm (0.339, 0.582, 0.000)
Sm (0.495, 0.737, 0.500)
Sm (0.505, 0.263, 0.500)
Sm (0.661, 0.418, 0.000)
Sm (0.675, 0.082, 0.000)
Sm (0.825, 0.582, 0.500)
Sm (0.839, 0.918, 0.500)
Sm (0.995, 0.763, 0.000)
In (0.000, 0.500, 0.000)
In (0.163, 0.743, 0.500)
In (0.337, 0.243, 0.000)
In (0.500, 0.000, 0.500)
In (0.663, 0.757, 0.000)
In (0.837, 0.257, 0.500)
Cu (0.000, 0.000, 0.000)
Cu (0.500, 0.500, 0.500)

Summary:
total magnetic moment: 0.00 μB/f.u.
energy of formation from the pure elements: -0.251 eV/atom

(19)
Entry from the Alexandria database: an optimized crystal structure of KLiSb2 (GGA-PBE).

Cell: 10.322 10.322 10.322 Å, 148.27 148.27 45.49°
Fractional coordinates of all 8 atoms:
K (0.000, 0.000, 0.000)
K (0.750, 0.250, 0.500)
Li (0.250, 0.750, 0.500)
Li (0.500, 0.500, 0.000)
Sb (0.315, 0.625, 0.190)
Sb (0.375, 0.565, 0.690)
Sb (0.435, 0.125, 0.810)
Sb (0.875, 0.685, 0.310)

Summary:
formation energy without anion corrections: -0.2210 eV per atom
total magnetic moment: 0.00 μB/f.u.
excess energy over the best structure of this formula in the dataset: 0.64 eV per formula unit

(20)
Entry from the Alexandria database: an optimized crystal structure of Sm2InHPd6 (GGA-PBE).

Cell: 5.766 5.766 7.206 Å, 113.92 113.92 59.86°
Fractional coordinates of all 10 atoms:
Sm (0.231, 0.231, 0.202)
Sm (0.769, 0.769, 0.798)
In (0.500, 0.500, 0.000)
H (0.000, 0.000, 0.500)
Pd (0.226, 0.226, 0.671)
Pd (0.229, 0.734, 0.681)
Pd (0.266, 0.771, 0.319)
Pd (0.734, 0.229, 0.681)
Pd (0.771, 0.266, 0.319)
Pd (0.774, 0.774, 0.329)

Summary:
electronic total energy: -5.29 eV/atom
total magnetic moment: 0.00 μB/f.u.

(21)
Entry from the Alexandria database: an optimized crystal structure of Li8SnSb5 (GGA-PBE).

Cell: 6.065 7.477 8.082 Å, 113.33 103.46 101.24°
Fractional coordinates of all 14 atoms:
Li (0.000, 0.000, 0.000)
Li (0.010, 0.506, 0.241)
Li (0.253, 0.536, 0.641)
Li (0.349, 0.018, 0.358)
Li (0.469, 0.946, 0.976)
Li (0.651, 0.766, 0.257)
Li (0.782, 0.544, 0.637)
Li (0.930, 0.234, 0.713)
Sn (0.484, 0.299, 0.821)
Sb (0.084, 0.878, 0.588)
Sb (0.154, 0.636, 0.994)
Sb (0.469, 0.353, 0.201)
Sb (0.593, 0.876, 0.646)
Sb (0.846, 0.189, 0.336)

Summary:
formation energy without anion corrections: -0.4124 eV per atom
total magnetic moment: 0.00 μB/f.u.

(22)
Entry from the Alexandria database: an optimized crystal structure of NdMgHgPb (GGA-PBE).

Cell: 5.320 5.320 5.320 Å, 60.00 60.00 60.00°
Fractional coordinates of all 4 atoms:
Nd (0.000, 0.000, 0.000)
Mg (0.500, 0.500, 0.500)
Hg (0.250, 0.250, 0.250)
Pb (0.750, 0.750, 0.750)

Summary:
total magnetic moment: 0.00 μB/f.u.
excess energy over the best structure of this formula in the dataset: 0.27 eV per formula unit
energy of formation from the pure elements: -0.338 eV/atom

(23)
Entry from the Alexandria database: an optimized crystal structure of TaNiAs2I (GGA-PBE).

Cell: 5.326 5.326 4.441 Å, 90.00 90.00 90.00°
Fractional coordinates of all 5 atoms:
Ta (0.000, 0.000, 0.000)
Ni (0.500, 0.500, 0.000)
As (0.000, 0.500, 0.500)
As (0.500, 0.000, 0.500)
I (0.500, 0.500, 0.500)

Summary:
formation energy without anion corrections: 1.7333 eV per atom
total magnetic moment: 1.64 μB/f.u.

(24)
Entry from the Alexandria database: an optimized crystal structure of SrLaIn2B (GGA-PBE).

Cell: 5.073 5.073 5.254 Å, 90.00 90.00 90.00°
Fractional coordinates of all 5 atoms:
Sr (0.000, 0.000, 0.000)
La (0.500, 0.500, 0.000)
In (0.000, 0.500, 0.500)
In (0.500, 0.000, 0.500)
B (0.000, 0.000, 0.500)

Summary:
total magnetic moment: 0.00 μB/f.u.
energy of formation from the pure elements: 0.276 eV/atom

(25)
Entry from the Alexandria database: an optimized crystal structure of BaBeBr2 (GGA-PBE).

Cell: 10.502 10.502 10.502 Å, 148.59 148.59 45.01°
Fractional coordinates of all 8 atoms:
Ba (0.000, 0.000, 0.000)
Ba (0.750, 0.250, 0.500)
Be (0.250, 0.750, 0.500)
Be (0.500, 0.500, 0.000)
Br (0.139, 0.625, 0.014)
Br (0.375, 0.389, 0.514)
Br (0.611, 0.125, 0.986)
Br (0.875, 0.861, 0.486)

Summary:
formation energy without anion corrections: -0.5679 eV per atom
total magnetic moment: 0.00 μB/f.u.
excess energy over the best structure of this formula in the dataset: 1.22 eV per formula unit